# PBE-GGA CaCr2Au, optimized geometry
data_CaCr2Au
_chemical_formula_sum 'Ca2 Cr4 Au2'
_space_group_name_H-M_alt 'I -4 m 2'
_space_group_IT_number 119
_space_group_name_Hall 'I -4 -2'
_cell_length_a 4.3229
_cell_length_b 4.3229
_cell_length_c 8.7891
_cell_angle_alpha 90.00
_cell_angle_beta 90.00
_cell_angle_gamma 90.00
loop_
_atom_site_label
_atom_site_fract_x
_atom_site_fract_y
_atom_site_fract_z
Ca1 0.0000 0.0000 0.0000
Cr1 0.0000 0.0000 0.5000
Cr2 0.0000 0.5000 0.7500
Au1 0.0000 0.5000 0.2500
# Total magnetization = 9.0 μB per formula unit
# Energy relative to the elements = 436 meV/atom
# Electronic total energy = -5.70 eV/atom
# Fermi-level density of states = 0.53 states/eV/atom